Entry 1:
! AlCuAu2 PBE-GGA relaxed; values from VASP
&SYSTEM
  ibrav = 0, nat = 12, ntyp = 3
/
ATOMIC_SPECIES
Al 26.98 Al.upf
Cu 63.55 Cu.upf
Au 196.97 Au.upf
CELL_PARAMETERS angstrom
4.2892 0.0000 0.0000
-2.1446 3.7146 0.0000
0.0000 0.0000 13.1837
ATOMIC_POSITIONS crystal
Al 0.0000 0.0000 0.0000
Al 0.3333 0.6667 0.6667
Al 0.6667 0.3333 0.3333
Cu 0.0000 0.0000 0.8055
Cu 0.3333 0.6667 0.4721
Cu 0.6667 0.3333 0.1388
Au 0.0000 0.0000 0.3818
Au 0.0000 0.0000 0.5907
Au 0.3333 0.6667 0.0485
Au 0.3333 0.6667 0.2574
Au 0.6667 0.3333 0.7151
Au 0.6667 0.3333 0.9241
! Final energy (eV per atom): -3.725
! Space-group type: R3m
! D(E_F) (states/eV/f.u.): 1.11


Entry 2:
! AlCuAu14 PBE-GGA relaxed; values from VASP
&SYSTEM
  ibrav = 0, nat = 16, ntyp = 3
/
ATOMIC_SPECIES
Al 26.98 Al.upf
Cu 63.55 Cu.upf
Au 196.97 Au.upf
CELL_PARAMETERS angstrom
9.4465 0.0000 0.0000
0.0000 2.9647 5.0505
0.0000 -2.9647 5.0505
ATOMIC_POSITIONS crystal
Al 0.0000 0.0000 0.0000
Cu 0.0000 0.5002 0.5002
Au 0.0000 0.0105 0.5125
Au 0.0000 0.5125 0.0105
Au 0.2301 0.3211 0.8258
Au 0.2301 0.8258 0.3211
Au 0.2510 0.3284 0.3284
Au 0.2514 0.8256 0.8256
Au 0.5000 0.1554 0.1554
Au 0.5000 0.1590 0.6605
Au 0.5000 0.6543 0.6543
Au 0.5000 0.6605 0.1590
Au 0.7490 0.3284 0.3284
Au 0.7486 0.8256 0.8256
Au 0.7699 0.3211 0.8258
Au 0.7699 0.8258 0.3211
! Final energy (eV per atom): -3.402
! Space-group type: Amm2
! D(E_F) (states/eV/f.u.): 5.14


Entry 3:
! Al2Cu6Au PBE-GGA relaxed; values from VASP
&SYSTEM
  ibrav = 0, nat = 9, ntyp = 3
/
ATOMIC_SPECIES
Al 26.98 Al.upf
Cu 63.55 Cu.upf
Au 196.97 Au.upf
CELL_PARAMETERS angstrom
-2.0692 2.4916 6.0121
2.0692 -2.4916 6.0121
2.0692 2.4916 -6.0121
ATOMIC_POSITIONS crystal
Al 0.1551 0.1551 0.0000
Al 0.8449 0.8449 0.0000
Cu 0.1483 0.3931 0.7552
Cu 0.2846 0.7846 0.5000
Cu 0.3622 0.6069 0.7552
Cu 0.6378 0.3931 0.2448
Cu 0.7154 0.2154 0.5000
Cu 0.8517 0.6069 0.2448
Au 0.5000 0.0000 0.5000
! Final energy (eV per atom): -4.025
! Offset from the most stable computed form (meV/atom): 68.4
! Space-group type: Immm
! D(E_F) (states/eV/f.u.): 2.23


Entry 4:
! Al2Cu2Au7 PBE-GGA relaxed; values from VASP
&SYSTEM
  ibrav = 0, nat = 11, ntyp = 3
/
ATOMIC_SPECIES
Al 26.98 Al.upf
Cu 63.55 Cu.upf
Au 196.97 Au.upf
CELL_PARAMETERS angstrom
2.7403 -4.3975 0.0000
2.7403 4.3975 0.0000
-0.5704 0.0000 7.7951
ATOMIC_POSITIONS crystal
Al 0.1765 0.1765 0.3364
Al 0.8235 0.8235 0.6636
Cu 0.2405 0.7595 0.5000
Cu 0.7595 0.2405 0.5000
Au 0.0000 0.0000 0.0000
Au 0.1457 0.5767 0.1683
Au 0.3020 0.3020 0.6581
Au 0.4233 0.8543 0.8317
Au 0.5767 0.1457 0.1683
Au 0.6980 0.6980 0.3419
Au 0.8543 0.4233 0.8317
! Final energy (eV per atom): -3.665
! Space-group type: C2/m
! D(E_F) (states/eV/f.u.): 2.69


Entry 5:
! Al2Cu3Au2 PBE-GGA relaxed; values from VASP
&SYSTEM
  ibrav = 0, nat = 14, ntyp = 3
/
ATOMIC_SPECIES
Al 26.98 Al.upf
Cu 63.55 Cu.upf
Au 196.97 Au.upf
CELL_PARAMETERS angstrom
8.9548 0.0000 0.0000
0.0000 3.6953 0.0000
-0.5240 0.0000 6.1710
ATOMIC_POSITIONS crystal
Al 0.1361 0.0000 0.3980
Al 0.3639 0.5000 0.6020
Al 0.6361 0.5000 0.3980
Al 0.8639 0.0000 0.6020
Cu 0.0000 0.0000 0.0000
Cu 0.2058 0.5000 0.1312
Cu 0.2942 0.0000 0.8688
Cu 0.5000 0.5000 0.0000
Cu 0.7058 0.0000 0.1312
Cu 0.7942 0.5000 0.8688
Au 0.0854 0.5000 0.7125
Au 0.4146 0.0000 0.2875
Au 0.5854 0.0000 0.7125
Au 0.9146 0.5000 0.2875
! Final energy (eV per atom): -3.968
! Offset from the most stable computed form (meV/atom): 0.0
! Space-group type: C2/m
! D(E_F) (states/eV/f.u.): 1.64


Entry 6:
! AlCu6Au8 PBE-GGA relaxed; values from VASP
&SYSTEM
  ibrav = 0, nat = 15, ntyp = 3
/
ATOMIC_SPECIES
Al 26.98 Al.upf
Cu 63.55 Cu.upf
Au 196.97 Au.upf
CELL_PARAMETERS angstrom
3.6490 2.1068 5.2928
-3.6490 2.1068 5.2928
0.0000 -4.2136 5.2928
ATOMIC_POSITIONS crystal
Al 0.0000 0.0000 0.0000
Cu 0.0161 0.5850 0.2880
Cu 0.2880 0.0161 0.5850
Cu 0.4150 0.7120 0.9839
Cu 0.5850 0.2880 0.0161
Cu 0.7120 0.9839 0.4150
Cu 0.9839 0.4150 0.7120
Au 0.1307 0.6491 0.8371
Au 0.1629 0.8693 0.3509
Au 0.3509 0.1629 0.8693
Au 0.3987 0.3987 0.3987
Au 0.6013 0.6013 0.6013
Au 0.6491 0.8371 0.1307
Au 0.8371 0.1307 0.6491
Au 0.8693 0.3509 0.1629
! Final energy (eV per atom): -3.671
! Space-group type: R-3
! D(E_F) (states/eV/f.u.): 4.24


Entry 7:
! AlCuAu4 PBE-GGA relaxed; values from VASP
&SYSTEM
  ibrav = 0, nat = 6, ntyp = 3
/
ATOMIC_SPECIES
Al 26.98 Al.upf
Cu 63.55 Cu.upf
Au 196.97 Au.upf
CELL_PARAMETERS angstrom
0.0000 3.8611 3.8611
3.8611 0.0000 3.8611
3.8611 3.8611 0.0000
ATOMIC_POSITIONS crystal
Al 0.0000 0.0000 0.0000
Cu 0.2500 0.2500 0.2500
Au 0.1254 0.6249 0.6249
Au 0.6249 0.1254 0.6249
Au 0.6249 0.6249 0.1254
Au 0.6249 0.6249 0.6249
! Final energy (eV per atom): -3.296
! Offset from the most stable computed form (meV/atom): 330.8
! Space-group type: F-43m
! D(E_F) (states/eV/f.u.): 2.48


Entry 8:
! Al2CuAu PBE-GGA relaxed; values from VASP
&SYSTEM
  ibrav = 0, nat = 8, ntyp = 3
/
ATOMIC_SPECIES
Al 26.98 Al.upf
Cu 63.55 Cu.upf
Au 196.97 Au.upf
CELL_PARAMETERS angstrom
8.5221 0.0000 0.0000
0.0000 3.0218 0.0000
-0.8230 0.0000 4.8045
ATOMIC_POSITIONS crystal
Al 0.2476 0.0000 0.2384
Al 0.2524 0.5000 0.7616
Al 0.7476 0.5000 0.2384
Al 0.7524 0.0000 0.7616
Cu 0.0000 0.5000 0.0000
Cu 0.5000 0.0000 0.0000
Au 0.0000 0.0000 0.5000
Au 0.5000 0.5000 0.5000
! Final energy (eV per atom): -3.924
! Space-group type: C2/m
! D(E_F) (states/eV/f.u.): 0.83